Density functional theory data (GGA-PBE) for a relaxed Cd3GaOs crystal.

- Space-group type: Pm-3m
- Calculated total energy: -10.310 eV per formula unit
- Energy of formation: 6.69 eV per formula unit
- DOS(E_F): 0.270 states/eV/atom

Cell lengths 4.978, 4.978, 4.978 Å; angles 90.00, 90.00, 90.00 degrees
Positions (direct):
Cd1 0.500 0.000 0.000
Cd2 0.000 0.500 0.000
Cd3 0.000 0.000 0.500
Os1 0.500 0.500 0.500
Ga1 0.000 0.000 0.000